La6CrGe2S14 | Alexandria | PBE | optimized geometry; calculated volume = 542 Å³/cell; formation energy (no corrections) = -1.577 eV/atom
1.0
10.3235 0.0000 0.0000
-5.1617 8.9404 0.0000
0.0000 0.0000 5.8731
La Cr Ge S
6 1 2 14
Direct
0.0220 0.5627 0.0000
0.3132 0.1067 0.5035
0.4373 0.4593 0.0000
0.5407 0.9780 0.0000
0.7935 0.6868 0.5035
0.8933 0.2065 0.5035
0.6667 0.3333 0.7716
0.0000 0.0000 0.9178
0.3333 0.6667 0.4222
0.0000 0.0000 0.2919
0.0830 0.8551 0.7684
0.1449 0.2279 0.7684
0.1848 0.4387 0.2733
0.2539 0.8152 0.2733
0.3333 0.6667 0.7966
0.4338 0.1817 0.9935
0.5187 0.4178 0.5419
0.5613 0.7461 0.2733
0.5822 0.1009 0.5419
0.7479 0.5662 0.9935
0.7721 0.9170 0.7684
0.8183 0.2521 0.9935
0.8991 0.4813 0.5419